Material: BaBiS3
Method: DFT, PBE
State: relaxed

* volume: 176 Å³ per cell
* ΔE_f (raw): 0.435 eV per atom
* E above lowest polymorph: 1277.3 meV per atom

Unit cell a=5.600 b=5.600 c=5.600 alpha=90.00 beta=90.00 gamma=90.00
Element x y z (fractional)
Ba: 0.000 0.000 0.000
Bi: 0.500 0.500 0.500
S: 0.000 0.000 0.500
S: 0.000 0.500 0.000
S: 0.500 0.000 0.000

Material: HoPu3In4
Method: DFT, PBE
State: relaxed

* volume: 205 Å³ per cell
* formation energy: -1.43 eV per formula unit

Unit cell a=4.638 b=4.719 c=9.367 alpha=90.00 beta=90.00 gamma=90.00
Element x y z (fractional)
Ho: 0.000 0.000 0.000
Pu: 0.000 0.000 0.500
Pu: 0.500 0.000 0.268
Pu: 0.500 0.000 0.732
In: 0.000 0.500 0.248
In: 0.000 0.500 0.752
In: 0.500 0.500 0.000
In: 0.500 0.500 0.500

Material: Co2AgIr
Method: DFT, PBE
State: relaxed

* volume: 55 Å³ per cell
* formation energy: 1.51 eV per formula unit

Unit cell a=4.511 b=4.511 c=4.511 alpha=128.45 beta=128.45 gamma=75.90
Element x y z (fractional)
Co: 0.250 0.750 0.500
Co: 0.750 0.250 0.500
Ag: 0.000 0.000 0.000
Ir: 0.500 0.500 0.000

Material: Ac7Tl2Pd2
Method: DFT, PBE
State: relaxed

* volume: 420 Å³ per cell
* formation energy: -3.37 eV per formula unit
* E above lowest polymorph: 65.5 meV per atom

Unit cell a=7.567 b=7.567 c=7.761 alpha=90.00 beta=90.00 gamma=108.97
Element x y z (fractional)
Ac: 0.000 0.000 0.000
Ac: 0.000 0.500 0.256
Ac: 0.000 0.500 0.744
Ac: 0.500 0.000 0.256
Ac: 0.500 0.000 0.744
Ac: 0.500 0.500 0.244
Ac: 0.500 0.500 0.756
Tl: 0.171 0.171 0.500
Tl: 0.829 0.829 0.500
Pd: 0.290 0.710 0.000
Pd: 0.710 0.290 0.000

Material: Tm8C4N
Method: DFT, PBE
State: relaxed

* volume: 258 Å³ per cell
* ΔE_f (raw): -0.501 eV per atom

Unit cell a=7.144 b=7.144 c=7.144 alpha=60.00 beta=60.00 gamma=60.00
Element x y z (fractional)
Tm: 0.106 0.631 0.631
Tm: 0.114 0.114 0.114
Tm: 0.114 0.114 0.657
Tm: 0.114 0.657 0.114
Tm: 0.631 0.106 0.631
Tm: 0.631 0.631 0.106
Tm: 0.631 0.631 0.631
Tm: 0.657 0.114 0.114
C: 0.369 0.877 0.877
C: 0.877 0.369 0.877
C: 0.877 0.877 0.369
C: 0.877 0.877 0.877
N: 0.500 0.500 0.500

Material: Be2HgW
Method: DFT, PBE
State: relaxed

* volume: 115 Å³ per cell
* formation energy: 3.39 eV per formula unit

Unit cell a=5.332 b=5.332 c=5.332 alpha=105.78 beta=105.78 gamma=117.14
Element x y z (fractional)
Be: 0.120 0.625 0.995
Be: 0.375 0.370 0.495
Be: 0.630 0.125 0.005
Be: 0.875 0.880 0.505
Hg: 0.000 0.000 0.000
Hg: 0.750 0.250 0.500
W: 0.250 0.750 0.500
W: 0.500 0.500 0.000

Material: ZrSiAg2
Method: DFT, PBE
State: relaxed

* volume: 73 Å³ per cell
* ΔE_f (raw): -0.108 eV per atom

Unit cell a=5.801 b=5.801 c=4.758 alpha=113.65 beta=113.65 gamma=30.07
Element x y z (fractional)
Zr: 0.000 0.000 0.000
Si: 0.500 0.500 0.500
Ag: 0.224 0.224 0.725
Ag: 0.776 0.776 0.275

Material: Ca3Bi4Pb2
Method: DFT, PBE
State: relaxed

* volume: 618 Å³ per cell
* formation energy: -4.04 eV per formula unit

Unit cell a=8.641 b=8.641 c=9.292 alpha=107.04 beta=107.04 gamma=73.02
Element x y z (fractional)
Ca: 0.118 0.882 0.750
Ca: 0.160 0.441 0.386
Ca: 0.441 0.160 0.886
Ca: 0.559 0.840 0.114
Ca: 0.840 0.559 0.614
Ca: 0.882 0.118 0.250
Bi: 0.094 0.191 0.600
Bi: 0.191 0.094 0.100
Bi: 0.280 0.495 0.771
Bi: 0.495 0.280 0.271
Bi: 0.505 0.720 0.729
Bi: 0.720 0.505 0.229
Bi: 0.809 0.906 0.900
Bi: 0.906 0.809 0.400
Pb: 0.110 0.651 0.063
Pb: 0.349 0.890 0.437
Pb: 0.651 0.110 0.563
Pb: 0.890 0.349 0.937

Material: TbTmHg2
Method: DFT, PBE
State: relaxed

* volume: 109 Å³ per cell
* formation energy: -1.33 eV per formula unit
* E above lowest polymorph: 147.3 meV per atom

Unit cell a=9.467 b=9.467 c=9.467 alpha=22.55 beta=22.55 gamma=22.55
Element x y z (fractional)
Tb: 0.000 0.000 0.000
Tm: 0.166 0.166 0.166
Hg: 0.582 0.582 0.582
Hg: 0.752 0.752 0.752

Material: ZrAl2Cl
Method: DFT, PBE
State: relaxed

* volume: 78 Å³ per cell
* ΔE_f (raw): -0.293 eV per atom
* E above lowest polymorph: 143.2 meV per atom

Unit cell a=8.921 b=8.921 c=8.921 alpha=20.78 beta=20.78 gamma=20.78
Element x y z (fractional)
Zr: 0.000 0.000 0.000
Al: 0.248 0.248 0.248
Al: 0.752 0.752 0.752
Cl: 0.500 0.500 0.500

Material: CaDy2Er
Method: DFT, PBE
State: relaxed

* volume: 265 Å³ per cell
* formation energy: 0.50 eV per formula unit
* E above lowest polymorph: 61.5 meV per atom

Unit cell a=12.087 b=12.087 c=6.412 alpha=94.05 beta=94.05 gamma=16.51
Element x y z (fractional)
Ca: 0.001 0.001 0.249
Ca: 0.999 0.999 0.751
Dy: 0.136 0.136 0.546
Dy: 0.372 0.372 0.963
Dy: 0.628 0.628 0.037
Dy: 0.864 0.864 0.454
Er: 0.248 0.248 0.248
Er: 0.752 0.752 0.752

Material: Li2IrI4
Method: DFT, PBE
State: relaxed

* volume: 223 Å³ per cell
* ΔE_f (raw): -0.345 eV per atom

Unit cell a=8.212 b=8.212 c=8.212 alpha=140.41 beta=140.41 gamma=57.23
Element x y z (fractional)
Li: 0.122 0.122 0.000
Li: 0.878 0.878 0.000
Ir: 0.500 0.500 0.000
I: 0.000 0.500 0.500
I: 0.314 0.314 0.000
I: 0.500 0.000 0.500
I: 0.686 0.686 0.000